Here is Mg2InAg7Sb2 after structural relaxation from Alexandria. Energies are from GGA-PBE.

The structure in CIF format:
```
data_Mg2InAg7Sb2
_cell_length_a 4.294
_cell_length_b 4.294
_cell_length_c 13.336
_cell_angle_alpha 90.08
_cell_angle_beta 90.08
_cell_angle_gamma 91.35
_space_group_name_H-M_alt 'P 1'
_space_group_IT_number 1
loop_
_space_group_symop_operation_xyz
'x,y,z'
loop_
_atom_site_label
_atom_site_type_symbol
_atom_site_fract_x
_atom_site_fract_y
_atom_site_fract_z
Mg1 Mg 0.001 0.001 0.185
Mg2 Mg 0.999 0.999 0.815
In1 In 0.500 0.500 0.500
Ag1 Ag 0.000 0.000 0.500
Ag2 Ag 0.000 0.500 0.342
Ag3 Ag 0.000 0.500 0.658
Ag4 Ag 0.241 0.241 0.000
Ag5 Ag 0.500 0.000 0.342
Ag6 Ag 0.500 0.000 0.658
Ag7 Ag 0.759 0.759 0.000
Sb1 Sb 0.500 0.500 0.185
Sb2 Sb 0.500 0.500 0.815
```

Calculated values
**SG**: C2/m (12)
**Energy relative to the elements, uncorrected**: -0.83 eV per formula unit
**Magnetic moment**: 0.0 μB per cell
**E**: -2.913 eV/atom